Compound: TlZnOF2
Source: the Alexandria database
Functional: PBE
Structure: relaxed

Cell and atoms, written as POSCAR:
```
TlZnOF2
1.0
4.031 0.000 0.000
0.000 4.031 0.000
0.000 0.000 4.264
Tl Zn O F
1 1 1 2
Direct
0.000 0.000 0.000 Tl
0.500 0.500 0.500 Zn
0.500 0.500 0.000 O
0.000 0.500 0.500 F
0.500 0.000 0.500 F
```

## Properties
Energy relative to the elements, uncorrected (eV per atom): -1.473
Energy above the lowest structure with this stoichiometry (meV/atom): 0
Volume (Å³/cell): 69.3
Crystal system: tetragonal


Compound: ScTl2Cd
Source: the Alexandria database
Functional: PBE
Structure: relaxed

Cell and atoms, written as POSCAR:
```
ScTl2Cd
1.0
5.931 -1.752 0.000
5.931 1.752 0.000
-2.051 0.000 4.822
Sc Tl Cd
1 2 1
Direct
0.000 0.000 0.000 Sc
0.506 0.506 0.492 Tl
0.741 0.741 0.121 Tl
0.270 0.270 0.649 Cd
```

## Properties
E_form (eV/atom): -0.0843
Energy above the lowest structure with this stoichiometry (meV/atom): 53
Volume (Å³/cell): 100.2
Crystal system: monoclinic


Compound: Li2AuSe
Source: the Alexandria database
Functional: PBE
Structure: relaxed

Cell and atoms, written as POSCAR:
```
Li2AuSe
1.0
3.634 -1.413 0.000
3.634 1.413 0.000
-1.063 0.000 6.893
Li Au Se
2 1 1
Direct
0.246 0.246 0.223 Li
0.754 0.754 0.777 Li
0.000 0.000 0.500 Au
0.500 0.500 0.000 Se
```

## Properties
Energy relative to the elements, uncorrected (eV per atom): -0.647
Energy above the lowest structure with this stoichiometry (meV/atom): 24
Volume (Å³/cell): 70.8
Crystal system: monoclinic


Compound: FeAg2Sb
Source: the Alexandria database
Functional: PBE
Structure: relaxed

Cell and atoms, written as POSCAR:
```
FeAg2Sb
1.0
2.760 -4.258 0.000
2.760 4.258 0.000
0.000 0.000 3.187
Fe Ag Sb
1 2 1
Direct
0.000 0.000 0.000 Fe
0.000 0.500 0.500 Ag
0.500 0.000 0.500 Ag
0.500 0.500 0.000 Sb
```

## Properties
Energy relative to the elements, uncorrected (eV per atom): 0.381
Volume (Å³/cell): 74.9
Crystal system: orthorhombic


Compound: Tm2Be4Ge3Os
Source: the Alexandria database
Functional: PBE
Structure: relaxed

Cell and atoms, written as POSCAR:
```
Tm2Be4Ge3Os
1.0
3.831 0.000 0.000
0.000 3.831 0.000
0.000 0.000 10.041
Tm Be Ge Os
2 4 3 1
Direct
0.000 0.500 0.247 Tm
0.500 0.000 0.753 Tm
0.000 0.000 0.500 Be
0.000 0.500 0.864 Be
0.500 0.000 0.136 Be
0.500 0.500 0.500 Be
0.000 0.000 0.000 Ge
0.000 0.500 0.635 Ge
0.500 0.000 0.365 Ge
0.500 0.500 0.000 Os
```

## Properties
E_form (eV/atom): -0.3600
Volume (Å³/cell): 147.4
Crystal system: tetragonal


Compound: Ba2TlSi3Au12
Source: the Alexandria database
Functional: PBE
Structure: relaxed

Cell and atoms, written as POSCAR:
```
Ba2TlSi3Au12
1.0
4.457 2.574 6.783
-4.457 2.574 6.783
0.000 -5.147 6.783
Ba Tl Si Au
2 1 3 12
Direct
0.107 0.107 0.107 Ba
0.893 0.893 0.893 Ba
0.500 0.500 0.500 Tl
0.000 0.500 0.500 Si
0.500 0.000 0.500 Si
0.500 0.500 0.000 Si
0.111 0.625 0.625 Au
0.181 0.181 0.627 Au
0.181 0.627 0.181 Au
0.373 0.819 0.819 Au
0.375 0.375 0.889 Au
0.375 0.889 0.375 Au
0.625 0.111 0.625 Au
0.625 0.625 0.111 Au
0.627 0.181 0.181 Au
0.819 0.373 0.819 Au
0.819 0.819 0.373 Au
0.889 0.375 0.375 Au
```

## Properties
Energy relative to the elements, uncorrected (eV per atom): -0.091
Volume (Å³/cell): 466.9
Crystal system: trigonal


Compound: Mg12Ga5Au2
Source: the Alexandria database
Functional: PBE
Structure: relaxed

Cell and atoms, written as POSCAR:
```
Mg12Ga5Au2
1.0
5.852 -4.551 0.000
5.852 4.551 0.000
-0.931 0.000 7.275
Mg Ga Au
12 5 2
Direct
0.075 0.075 0.225 Mg
0.119 0.660 0.124 Mg
0.178 0.528 0.720 Mg
0.340 0.881 0.876 Mg
0.388 0.388 0.373 Mg
0.472 0.822 0.280 Mg
0.528 0.178 0.720 Mg
0.612 0.612 0.627 Mg
0.660 0.119 0.124 Mg
0.822 0.472 0.280 Mg
0.881 0.340 0.876 Mg
0.925 0.925 0.775 Mg
0.162 0.162 0.607 Ga
0.263 0.263 0.013 Ga
0.500 0.500 0.000 Ga
0.737 0.737 0.987 Ga
0.838 0.838 0.393 Ga
0.217 0.783 0.500 Au
0.783 0.217 0.500 Au
```

## Properties
E_form (eV/atom): -0.1889
Volume (Å³/cell): 387.5
Crystal system: monoclinic


Compound: PmTmCo2
Source: the Alexandria database
Functional: PBE
Structure: relaxed

Cell and atoms, written as POSCAR:
```
PmTmCo2
1.0
3.368 0.000 0.000
0.000 3.368 0.000
0.000 0.000 6.735
Pm Tm Co
1 1 2
Direct
0.000 0.000 0.000 Pm
0.000 0.000 0.500 Tm
0.500 0.500 0.263 Co
0.500 0.500 0.737 Co
```

## Properties
E_form (eV/atom): -0.0905
Energy above the lowest structure with this stoichiometry (meV/atom): 74
Volume (Å³/cell): 76.4
Crystal system: tetragonal


Compound: Ta4AgPt
Source: the Alexandria database
Functional: PBE
Structure: relaxed

Cell and atoms, written as POSCAR:
```
Ta4AgPt
1.0
0.000 3.813 3.813
3.813 0.000 3.813
3.813 3.813 0.000
Ta Ag Pt
4 1 1
Direct
0.125 0.125 0.125 Ta
0.125 0.125 0.626 Ta
0.125 0.626 0.125 Ta
0.626 0.125 0.125 Ta
0.750 0.750 0.750 Ag
0.500 0.500 0.500 Pt
```

## Properties
E_form (eV/atom): 0.3336
Volume (Å³/cell): 110.8
Crystal system: cubic


Compound: RbAlTcSe2
Source: the Alexandria database
Functional: PBE
Structure: relaxed

Cell and atoms, written as POSCAR:
```
RbAlTcSe2
1.0
5.025 0.000 0.000
0.000 5.025 0.000
0.000 0.000 6.187
Rb Al Tc Se
1 1 1 2
Direct
0.000 0.000 0.000 Rb
0.000 0.000 0.500 Al
0.500 0.500 0.000 Tc
0.000 0.500 0.500 Se
0.500 0.000 0.500 Se
```

## Properties
Energy relative to the elements, uncorrected (eV per atom): 0.937
Volume (Å³/cell): 156.2
Crystal system: tetragonal


Compound: ErGa4Ru
Source: the Alexandria database
Functional: PBE
Structure: relaxed

Cell and atoms, written as POSCAR:
```
ErGa4Ru
1.0
7.777 0.000 0.000
0.000 4.043 0.000
0.000 0.000 6.874
Er Ga Ru
2 8 2
Direct
0.250 0.000 0.125 Er
0.750 0.000 0.875 Er
0.000 0.000 0.500 Ga
0.063 0.500 0.823 Ga
0.250 0.500 0.447 Ga
0.437 0.500 0.823 Ga
0.500 0.000 0.500 Ga
0.563 0.500 0.177 Ga
0.750 0.500 0.553 Ga
0.937 0.500 0.177 Ga
0.250 0.000 0.701 Ru
0.750 0.000 0.299 Ru
```

## Properties
E_form (eV/atom): -0.5005
Energy above the lowest structure with this stoichiometry (meV/atom): 0
Volume (Å³/cell): 216.2
Crystal system: orthorhombic


Compound: Zr6ZnIn2
Source: the Alexandria database
Functional: PBE
Structure: relaxed

Cell and atoms, written as POSCAR:
```
Zr6ZnIn2
1.0
-2.354 3.357 7.099
2.354 -3.357 7.099
2.354 3.357 -7.099
Zr Zn In
6 1 2
Direct
0.081 0.340 0.741 Zr
0.236 0.000 0.236 Zr
0.402 0.660 0.741 Zr
0.598 0.340 0.259 Zr
0.764 0.000 0.764 Zr
0.919 0.660 0.259 Zr
0.000 0.500 0.500 Zn
0.334 0.834 0.500 In
0.666 0.166 0.500 In
```

## Properties
E_form (eV/atom): 0.2381
Volume (Å³/cell): 224.5
Crystal system: orthorhombic


What is the formula in the fourth record?
FeAg2Sb